1.
Below is MgInOs2 after structural relaxation, with properties calculated at the PBE level.

a b c (Å): 5.354 5.354 4.913
angles (deg): 68.08 68.08 31.27
Positions (direct):
In 0.519 0.519 0.429
Mg 0.733 0.733 0.819
Os 0.976 0.976 0.947
Os 0.273 0.273 0.305

Properties
- Formation enthalpy at 0 K: 0.2991 eV/atom
- V: 16.851 A^3/atom

2.
Below is MgInOs after structural relaxation, with properties calculated at the PBE level.

a b c (Å): 5.183 5.183 5.183
angles (deg): 141.96 141.96 54.88
Positions (direct):
In 0.010 0.010 0.000
Mg 0.319 0.319 0.000
Os 0.672 0.672 0.000

Properties
- Energy relative to the lowest polymorph listed for this composition: 0.0000 eV per atom
- Formation enthalpy at 0 K: 0.2453 eV/atom
- V: 17.500 A^3/atom

Which value of V does entry 2 give? 17.500 A^3/atom